PbBr5 | Alexandria via LeMat-Bulk | PBE | optimized geometry; ΔE_f (raw) = -0.30 eV/atom; offset from the most stable computed form = 27 kJ/mol of formula units; space-group type = No. 38; crystal system = orthorhombic
1.0
2.558 -7.996 0.000
2.558 7.996 0.000
0.000 0.000 5.539
Pb Br
1 5
direct
0.035 0.965 0.000
0.833 0.167 0.500
0.628 0.372 0.000
0.366 0.634 0.500
0.373 0.627 0.000
0.098 0.902 0.500

LaSm3Tm2S6 | Alexandria via LeMat-Bulk | PBE | optimized geometry; ΔE_f (raw) = -2.01 eV/atom; space-group type = No. 12; crystal system = monoclinic
1.0
6.898 -0.009 -0.004
-3.455 5.971 -0.004
-1.152 -1.995 6.500
La Sm Tm S
1 3 2 6
direct
0.000 0.000 0.000
0.160 0.840 0.500
0.840 0.160 0.500
0.500 0.500 0.500
0.333 0.667 0.000
0.667 0.333 0.000
0.919 0.570 0.756
0.731 0.731 0.238
0.081 0.430 0.244
0.570 0.919 0.756
0.269 0.269 0.762
0.430 0.081 0.244

SiSb2As | Alexandria via LeMat-Bulk | PBE | optimized geometry; ΔE_f (raw) = 0.18 eV/atom; offset from the most stable computed form = 5 kJ/mol of formula units; space-group type = No. 12; crystal system = monoclinic
1.0
4.046 0.028 -0.034
2.054 3.486 -0.034
1.948 1.122 6.700
As Sb Si
1 2 1
direct
0.250 0.250 0.250
0.004 0.004 0.987
0.496 0.496 0.513
0.750 0.750 0.750

LaBiRhAu | Alexandria via LeMat-Bulk | PBE | optimized geometry; space-group type = No. 216; formation enthalpy at 0 K = -48 kJ per mole of atoms; crystal system = cubic
1.0
-4.293 2.707 -0.349
-3.392 -1.068 -3.639
-4.456 -2.129 1.222
Rh Au Bi La
1 1 1 1
direct
0.000 0.000 0.000
0.500 0.500 0.500
0.750 0.750 0.750
0.250 0.250 0.250

Ca6In3Hg | Alexandria via LeMat-Bulk | PBE | optimized geometry; space-group type = No. 11; formation enthalpy at 0 K = -40 kJ per mole of atoms; crystal system = monoclinic
1.0
5.511 0.000 0.000
0.000 8.904 -3.232
0.000 -0.129 12.314
Ca In Hg
12 6 2
direct
0.250 0.474 0.081
0.750 0.526 0.919
0.250 0.138 0.155
0.750 0.862 0.845
0.250 0.665 0.666
0.750 0.335 0.334
0.250 0.243 0.499
0.750 0.757 0.501
0.250 0.842 0.316
0.750 0.158 0.684
0.250 0.108 0.865
0.750 0.892 0.135
0.250 0.528 0.372
0.750 0.472 0.628
0.250 0.406 0.782
0.750 0.594 0.218
0.250 0.768 0.972
0.750 0.232 0.028
0.250 0.954 0.595
0.750 0.046 0.405

La4CdHg2 | Alexandria via LeMat-Bulk | PBE | optimized geometry; space-group type = No. 139; formation enthalpy at 0 K = -29 kJ per mole of atoms; crystal system = tetragonal
1.0
6.324 -0.017 -2.236
-3.157 5.479 -2.236
-0.010 0.017 6.707
Cd Hg La
1 2 4
direct
0.000 0.000 0.000
0.500 0.500 0.000
0.500 0.000 0.500
0.500 0.000 0.000
0.500 0.500 0.500
0.000 0.000 0.500
0.000 0.500 0.000

| no. | density (g/cm3) | E_tot (eV/atom) |
| --- | --- | --- |
| 1 | 4.45 | -2.313 |
| 2 | 6.96 | -6.412 |
| 3 | 6.09 | -4.404 |
| 4 | 11.55 | -5.358 |
| 5 | 4.33 | -2.462 |
| 6 | 7.64 | -3.333 |